[1]
NaCd2Pb2 after structural relaxation, computed with PBE-GGA.

The structure belongs to space group I4/mmm (No. 139); the cell edges are 4.757, 4.757 and 13.685 Å and the angles 90.00°, 90.00° and 90.00°. The inequivalent atoms are Na at (0.000, 0.000, 0.000), Cd at (0.000, 0.000, 0.400) and Pb at (0.000, 0.500, 0.250).

The calculation puts the raw total energy at -2.1381 eV/atom. The calculation puts the volume at 309.6 Å³ per cell. The calculation puts the energy relative to the lowest polymorph listed for this composition at 0 meV/atom. The formation energy from the elements comes out at -24.9 meV/atom. The calculation puts the magnetization at 0.00 Bohr magnetons per cell.

=====

[2]
BaTe2Au after structural relaxation, computed with PBE-GGA.

The structure belongs to space group I4/mmm (No. 139); the cell edges are 4.644, 4.644 and 11.604 Å and the angles 90.00°, 90.00° and 90.00°. The inequivalent atoms are Ba at (0.000, 0.000, 0.000), Te at (0.000, 0.500, 0.250) and Au at (0.000, 0.000, 0.500).

The calculation puts the raw total energy at -3.4628 eV/atom. The calculation puts the volume at 250.2 Å³ per cell. The calculation puts the energy relative to the lowest polymorph listed for this composition at 257 meV/atom. The calculation puts the magnetization at 0.00 Bohr magnetons per cell.

=====

[3]
BaLa4Te5 after structural relaxation, computed with PBE-GGA.

The structure belongs to space group C2/m (No. 12); the cell edges are 15.495, 4.632 and 11.412 Å and the angles 90.00°, 119.62° and 90.00°. The inequivalent atoms are Ba at (0.000, 0.000, 0.000), La at (0.095, 0.500, 0.400), La at (0.201, 0.000, 0.789), Te at (0.000, 0.000, 0.500), Te at (0.111, 0.500, 0.897) and Te at (0.202, 0.000, 0.312).

The calculation puts the raw total energy at -5.3454 eV/atom. The calculation puts the volume at 712.0 Å³ per cell. The calculation puts the magnetization at 0.00 Bohr magnetons per cell.

=====

[4]
Cs2HfBiSe after structural relaxation, computed with PBE-GGA.

The structure belongs to space group P4/mmm (No. 123); the cell edges are 6.671, 6.671 and 5.765 Å and the angles 90.00°, 90.00° and 90.00°. The inequivalent atoms are Cs at (0.000, 0.500, 0.000), Hf at (0.000, 0.000, 0.500), Bi at (0.500, 0.500, 0.500) and Se at (0.500, 0.500, 0.000).

The calculation puts the raw total energy at -3.1123 eV/atom. The calculation puts the volume at 256.5 Å³ per cell. The calculation puts the magnetization at 2.34 Bohr magnetons per cell.

=====

[5]
La2YCd after structural relaxation, computed with PBE-GGA.

The structure belongs to space group R3m (No. 160, hexagonal axes); the cell edges are 3.7008, 3.7008 and 33.2982 Å and the angles 90.00°, 90.00° and 120.00°. The inequivalent atoms are La at (0.0000, 0.0000, 0.0000), La at (0.0000, 0.0000, 0.2421), Y at (0.0000, 0.0000, 0.7561) and Cd at (0.0000, 0.0000, 0.4953).

The calculation puts the raw total energy at -4.3866 eV/atom. The calculation puts the volume at 394.9 Å³ per cell. The formation energy from the elements comes out at -78.1 meV/atom. The calculation puts the magnetization at 0.00 Bohr magnetons per cell.

=====

[6]
Sr2CdIn7 after structural relaxation, computed with PBE-GGA.

The structure belongs to space group P-4m2 (No. 115); the cell edges are 4.849, 4.849 and 12.565 Å and the angles 90.00°, 90.00° and 90.00°. The inequivalent atoms are Sr at (0.000, 0.500, 0.244), Cd at (0.500, 0.500, 0.000), In at (0.000, 0.000, 0.000), In at (0.000, 0.000, 0.500), In at (0.000, 0.500, 0.640), In at (0.000, 0.500, 0.865) and In at (0.500, 0.500, 0.500).

The calculation puts the raw total energy at -2.6183 eV/atom. The calculation puts the volume at 295.4 Å³ per cell. The formation energy from the elements comes out at -273.5 meV/atom. The calculation puts the magnetization at 0.00 Bohr magnetons per cell.

=====

[7]
LaTbCo4 after structural relaxation, computed with PBE-GGA.

The structure belongs to space group F-43m (No. 216); the cell edges are 7.248, 7.248 and 7.248 Å and the angles 90.00°, 90.00° and 90.00°. The inequivalent atoms are La at (0.000, 0.000, 0.000), Tb at (0.250, 0.250, 0.750) and Co at (0.125, 0.125, 0.375).

The calculation puts the raw total energy at -6.4214 eV/atom. The calculation puts the volume at 380.7 Å³ per cell. The calculation puts the energy relative to the lowest polymorph listed for this composition at 61 meV/atom. The formation energy from the elements comes out at -91.2 meV/atom. The calculation puts the magnetization at 11.98 Bohr magnetons per cell.

=====

[8]
Be2InSnHg after structural relaxation, computed with PBE-GGA.

The structure belongs to space group P4/mmm (No. 123); the cell edges are 4.570, 4.570 and 5.850 Å and the angles 90.00°, 90.00° and 90.00°. The inequivalent atoms are Be at (0.000, 0.500, 0.000), In at (0.000, 0.000, 0.000), Sn at (0.500, 0.500, 0.500) and Hg at (0.000, 0.000, 0.500).

The calculation puts the raw total energy at -2.0443 eV/atom. The calculation puts the volume at 122.2 Å³ per cell. The formation energy from the elements comes out at 854.8 meV/atom. The calculation puts the magnetization at 0.00 Bohr magnetons per cell.

=====

[9]
Sr2CaHoTe4 after structural relaxation, computed with PBE-GGA.

The structure belongs to space group P2/m (No. 10); the cell edges are 7.903, 4.545 and 7.955 Å and the angles 90.00°, 109.20° and 90.00°. The inequivalent atoms are Sr at (0.000, 0.000, 0.000), Sr at (0.500, 0.500, 0.000), Ca at (0.000, 0.500, 0.500), Ho at (0.500, 0.000, 0.500), Te at (0.249, 0.000, 0.733) and Te at (0.261, 0.500, 0.270).

The calculation puts the raw total energy at -4.3922 eV/atom. The calculation puts the volume at 269.9 Å³ per cell. The calculation puts the magnetization at 0.00 Bohr magnetons per cell.

=====

[10]
BeOsRu2 after structural relaxation, computed with PBE-GGA.

The structure belongs to space group R3m (No. 160, hexagonal axes); the cell edges are 2.7267, 2.7267 and 24.2544 Å and the angles 90.00°, 90.00° and 120.00°. The inequivalent atoms are Be at (0.0000, 0.0000, 0.0000), Os at (0.0000, 0.0000, 0.8336), Ru at (0.0000, 0.0000, 0.4120) and Ru at (0.0000, 0.0000, 0.5878).

The calculation puts the raw total energy at -8.3492 eV/atom. The calculation puts the volume at 156.2 Å³ per cell. The formation energy from the elements comes out at 27.7 meV/atom. The calculation puts the magnetization at 0.00 Bohr magnetons per cell.

=====

[11]
BaWAu after structural relaxation, computed with PBE-GGA.

The structure belongs to space group F-43m (No. 216); the cell edges are 7.280, 7.280 and 7.280 Å and the angles 90.00°, 90.00° and 90.00°. The inequivalent atoms are Ba at (0.000, 0.000, 0.000), W at (0.000, 0.000, 0.500) and Au at (0.250, 0.250, 0.250).

The calculation puts the raw total energy at -4.7983 eV/atom. The calculation puts the volume at 385.8 Å³ per cell. The calculation puts the energy relative to the lowest polymorph listed for this composition at 495 meV/atom. The formation energy from the elements comes out at 1252.8 meV/atom. The calculation puts the magnetization at 18.24 Bohr magnetons per cell.

=====

[12]
CdPIrS2 after structural relaxation, computed with PBE-GGA.

The structure belongs to space group P4/mmm (No. 123); the cell edges are 4.942, 4.942 and 4.364 Å and the angles 90.00°, 90.00° and 90.00°. The inequivalent atoms are Cd at (0.000, 0.000, 0.000), P at (0.500, 0.500, 0.000), Ir at (0.500, 0.500, 0.500) and S at (0.000, 0.500, 0.500).

The calculation puts the raw total energy at -4.2611 eV/atom. The calculation puts the volume at 106.6 Å³ per cell. The calculation puts the energy relative to the lowest polymorph listed for this composition at 0 meV/atom. The calculation puts the magnetization at 0.00 Bohr magnetons per cell.

=====

[13]
Hf2TiS after structural relaxation, computed with PBE-GGA.

The structure belongs to space group P2_1/m (No. 11); the cell edges are 6.175, 3.381 and 7.284 Å and the angles 90.00°, 106.31° and 90.00°. The inequivalent atoms are Hf at (0.095, 0.250, 0.357), Hf at (0.294, 0.750, 0.056), Ti at (0.427, 0.750, 0.620) and S at (0.244, 0.250, 0.774).

The calculation puts the raw total energy at -8.6568 eV/atom. The calculation puts the volume at 145.9 Å³ per cell. The calculation puts the magnetization at 0.00 Bohr magnetons per cell.

=====

[14]
CaMg3 after structural relaxation, computed with PBE-GGA.

The structure belongs to space group I4/mmm (No. 139); the cell edges are 4.746, 4.746 and 19.254 Å and the angles 90.00°, 90.00° and 90.00°. The inequivalent atoms are Ca at (0.000, 0.000, 0.125), Mg at (0.000, 0.000, 0.371), Mg at (0.000, 0.500, 0.000) and Mg at (0.000, 0.500, 0.250).

The calculation puts the raw total energy at -1.7334 eV/atom. The calculation puts the volume at 433.8 Å³ per cell. The formation energy from the elements comes out at -37.1 meV/atom. The calculation puts the magnetization at 0.00 Bohr magnetons per cell.

=====

[15]
ReTcAu2 after structural relaxation, computed with PBE-GGA.

The structure belongs to space group I-4m2 (No. 119); the cell edges are 4.002, 4.002 and 7.980 Å and the angles 90.00°, 90.00° and 90.00°. The inequivalent atoms are Re at (0.000, 0.000, 0.000), Tc at (0.000, 0.500, 0.750), Au at (0.000, 0.000, 0.500) and Au at (0.000, 0.500, 0.250).

The calculation puts the raw total energy at -6.9060 eV/atom. The calculation puts the volume at 127.8 Å³ per cell. The calculation puts the energy relative to the lowest polymorph listed for this composition at 302 meV/atom. The formation energy from the elements comes out at 436.2 meV/atom. The calculation puts the magnetization at 0.00 Bohr magnetons per cell.

=====

[16]
In2BPdW after structural relaxation, computed with PBE-GGA.

The structure belongs to space group P4/mmm (No. 123); the cell edges are 5.336, 5.336 and 4.777 Å and the angles 90.00°, 90.00° and 90.00°. The inequivalent atoms are In at (0.000, 0.500, 0.000), B at (0.000, 0.000, 0.500), Pd at (0.500, 0.500, 0.500) and W at (0.500, 0.500, 0.000).

The calculation puts the raw total energy at -4.2744 eV/atom. The calculation puts the volume at 136.0 Å³ per cell. The formation energy from the elements comes out at 1785.7 meV/atom. The calculation puts the magnetization at 0.00 Bohr magnetons per cell.

=====

[17]
Cs2Ti3I9 after structural relaxation, computed with PBE-GGA.

The structure belongs to space group C2/m (No. 12); the cell edges are 12.422, 19.908 and 11.372 Å and the angles 90.00°, 115.48° and 90.00°. The inequivalent atoms are Cs at (0.101, 0.161, 0.316), Ti at (0.120, 0.500, 0.879), Ti at (0.136, 0.419, 0.136), I at (0.000, 0.309, 0.000), I at (0.023, 0.405, 0.298), I at (0.193, 0.000, 0.682), I at (0.204, 0.192, 0.686), I at (0.218, 0.100, 0.989) and I at (0.248, 0.500, 0.710).

The calculation puts the raw total energy at -3.6993 eV/atom. The calculation puts the volume at 2538.7 Å³ per cell. The calculation puts the magnetization at 7.85 Bohr magnetons per cell.

=====

[18]
CsNbN2 after structural relaxation, computed with PBE-GGA.

The structure belongs to space group Pbca (No. 61); the cell edges are 6.269, 12.623 and 17.710 Å and the angles 90.00°, 90.00° and 90.00°. The inequivalent atoms are Cs at (0.210, 0.248, 0.188), Cs at (0.248, 0.001, 0.063), Nb at (0.223, 0.244, 0.438), Nb at (0.247, 0.503, 0.812), N at (0.036, 0.506, 0.233), N at (0.061, 0.734, 0.017), N at (0.214, 0.612, 0.385) and N at (0.229, 0.139, 0.866).

The calculation puts the raw total energy at -7.6597 eV/atom. The calculation puts the volume at 1401.6 Å³ per cell. The calculation puts the magnetization at 0.00 Bohr magnetons per cell.

=====

[19]
BaTc2Rh after structural relaxation, computed with PBE-GGA.

The structure belongs to space group Immm (No. 71); the cell edges are 2.906, 5.019 and 10.728 Å and the angles 90.00°, 90.00° and 90.00°. The inequivalent atoms are Ba at (0.000, 0.000, 0.000), Tc at (0.000, 0.500, 0.216) and Rh at (0.000, 0.000, 0.500).

The calculation puts the raw total energy at -6.6594 eV/atom. The calculation puts the volume at 156.5 Å³ per cell. The calculation puts the energy relative to the lowest polymorph listed for this composition at 460 meV/atom. The formation energy from the elements comes out at 842.2 meV/atom. The calculation puts the magnetization at 0.00 Bohr magnetons per cell.

=====

[20]
KPbO2F after structural relaxation, computed with PBE-GGA.

The structure belongs to space group P4/mmm (No. 123); the cell edges are 4.736, 4.736 and 4.668 Å and the angles 90.00°, 90.00° and 90.00°. The inequivalent atoms are K at (0.000, 0.000, 0.000), Pb at (0.500, 0.500, 0.500), O at (0.000, 0.500, 0.000) and F at (0.000, 0.000, 0.500).

The calculation puts the raw total energy at -3.7181 eV/atom. The calculation puts the volume at 104.7 Å³ per cell. The calculation puts the magnetization at 2.00 Bohr magnetons per cell.

=====

[21]
Li4Cd3Rh2 after structural relaxation, computed with PBE-GGA.

The structure belongs to space group C2/m (No. 12); the cell edges are 9.968, 3.267 and 9.359 Å and the angles 90.00°, 106.78° and 90.00°. The inequivalent atoms are Li at (0.017, 0.000, 0.317), Li at (0.176, 0.500, 0.889), Cd at (0.000, 0.000, 0.000), Cd at (0.158, 0.500, 0.568) and Rh at (0.171, 0.500, 0.215).

The calculation puts the raw total energy at -2.9989 eV/atom. The calculation puts the volume at 291.8 Å³ per cell. The formation energy from the elements comes out at -209.6 meV/atom. The calculation puts the magnetization at 0.00 Bohr magnetons per cell.

=====

[22]
LaCeGdPb after structural relaxation, computed with PBE-GGA.

The structure belongs to space group F-43m (No. 216); the cell edges are 7.901, 7.901 and 7.901 Å and the angles 90.00°, 90.00° and 90.00°. The inequivalent atoms are La at (0.000, 0.000, 0.000), Ce at (0.250, 0.250, 0.250), Gd at (0.000, 0.000, 0.500) and Pb at (0.250, 0.250, 0.750).

The calculation puts the raw total energy at -7.2660 eV/atom. The calculation puts the volume at 493.3 Å³ per cell. The formation energy from the elements comes out at -103.4 meV/atom. The calculation puts the magnetization at 42.23 Bohr magnetons per cell.

=====

[23]
BeMo2Os after structural relaxation, computed with PBE-GGA.

The structure belongs to space group R-3m (No. 166, hexagonal axes); the cell edges are 2.7592, 2.7592 and 25.8550 Å and the angles 90.00°, 90.00° and 120.00°. The inequivalent atoms are Be at (0.0000, 0.0000, 0.0000), Mo at (0.0000, 0.0000, 0.2539) and Os at (0.0000, 0.0000, 0.5000).

The calculation puts the raw total energy at -8.9225 eV/atom. The calculation puts the volume at 170.5 Å³ per cell. The formation energy from the elements comes out at 232.1 meV/atom. The calculation puts the magnetization at 0.00 Bohr magnetons per cell.